Record 1
The following is a PBE calculation of a relaxed Ba3Sr2P4 crystal, from Alexandria.

Structure (CIF):
```
data_Ba3Sr2P4
_symmetry_space_group_name_H-M 'P 1'
_symmetry_Int_Tables_number 1
_symmetry_space_group_name_Hall 'P 1'
_cell_length_a 8.979
_cell_length_b 8.979
_cell_length_c 6.992
_cell_angle_alpha 105.33
_cell_angle_beta 105.33
_cell_angle_gamma 32.83
loop_
_atom_site_label
_atom_site_type_symbol
_atom_site_fract_x
_atom_site_fract_y
_atom_site_fract_z
Ba1 Ba 0.000 0.000 0.000
Ba2 Ba 0.138 0.138 0.562
Ba3 Ba 0.862 0.862 0.438
Sr1 Sr 0.336 0.336 0.985
Sr2 Sr 0.664 0.664 0.015
P1 P 0.213 0.213 0.208
P2 P 0.495 0.495 0.334
P3 P 0.505 0.505 0.666
P4 P 0.787 0.787 0.792
```

Final energy, eV per cell: -39.16
Energy relative to the elements, meV per atom: -932
DOS(E_F), states/eV/f.u.: 0.4

***

Record 2
The following is a PBE calculation of a relaxed Sm4CoSn2 crystal, from Alexandria.

Structure (CIF):
```
data_Sm4CoSn2
_symmetry_space_group_name_H-M 'P 1'
_symmetry_Int_Tables_number 1
_symmetry_space_group_name_Hall 'P 1'
_cell_length_a 6.220
_cell_length_b 6.220
_cell_length_c 8.680
_cell_angle_alpha 119.70
_cell_angle_beta 119.70
_cell_angle_gamma 43.40
loop_
_atom_site_label
_atom_site_type_symbol
_atom_site_fract_x
_atom_site_fract_y
_atom_site_fract_z
Sm1 Sm 0.070 0.070 0.346
Sm2 Sm 0.332 0.332 0.940
Sm3 Sm 0.668 0.668 0.060
Sm4 Sm 0.930 0.930 0.654
Co1 Co 0.000 0.000 0.000
Sn1 Sn 0.353 0.353 0.340
Sn2 Sn 0.647 0.647 0.660
```

Final energy, eV per cell: -37.36
Energy relative to the elements, meV per atom: -481
DOS(E_F), states/eV/f.u.: 6.3
Offset from the most stable computed form, eV/f.u.: 0.000

***

Q: Which formula does entry 1 have?
A: Ba3Sr2P4